Density functional theory data (PBE) for an optimized crystal structure of Pm6C3S2Cl.

## Properties
- Energy relative to the elements, uncorrected: -109 kJ per mole of atoms
- E: -6.65 eV/atom
- Density: 6.57 g cm⁻³
- Crystal system: monoclinic
- Fermi-level density of states: 2.595 states/eV/f.u.

Cell lengths 17.3142, 3.8309, 8.0053 Å; angles 90.00, 106.85, 90.00 degrees
Space group C2/m (No. 12)
Unique sites:
Pm (0.0102, 0.0000, 0.2198)
Pm (0.1606, 0.5000, 0.1006)
Pm (0.1778, 0.5000, 0.5632)
C (0.0000, 0.5000, 0.0000)
C (0.1671, 0.0000, 0.3329)
S (0.1638, 0.0000, 0.8275)
Cl (0.0000, 0.5000, 0.5000)